The following is a PBE+U calculation of an optimized crystal structure of GdWO5, from Alexandria via LeMat-Bulk.

Lattice parameters (Å, degrees): 5.3625 12.8789 7.1378 90.00 116.79 90.00
Closest atoms and distances in Å follow each position.
Atoms (fractional coordinates):
Gd1 0.1355 0.0543 0.2881  7 O 2.29-2.53
Gd2 0.1355 0.4457 0.7881  7 O 2.29-2.53
Gd3 0.8645 0.5543 0.2119  7 O 2.29-2.53
Gd4 0.8645 0.9457 0.7119  7 O 2.29-2.53
W1 0.3694 0.1402 0.8573  4 O 1.80-1.96
W2 0.3694 0.3598 0.3573  4 O 1.80-1.96
W3 0.6306 0.6402 0.6427  4 O 1.80-1.96
W4 0.6306 0.8598 0.1427  4 O 1.80-1.96
O1 0.0482 0.0948 0.5789  1 W 2.04, 1 O 2.21
O2 0.0482 0.4052 0.0789  1 W 2.04, 1 O 2.21
O3 0.1420 0.0827 0.9632  1 W 1.85
O4 0.1420 0.4173 0.4632  1 W 1.85
O5 0.2965 0.6254 0.4092  1 W 1.83
O6 0.2965 0.8746 0.9092  1 W 1.83
O7 0.3206 0.2216 0.3239  1 W 1.80
O8 0.3206 0.2784 0.8239  1 W 1.80
O9 0.4962 0.0650 0.6765  1 W 1.96
O10 0.4962 0.4350 0.1765  1 W 1.96
O11 0.5038 0.5650 0.8235  1 W 1.96
O12 0.5038 0.9350 0.3235  1 W 1.96
O13 0.6794 0.7216 0.1761  1 W 1.80
O14 0.6794 0.7784 0.6761  1 W 1.80
O15 0.7035 0.1254 0.0908  1 W 1.83
O16 0.7035 0.3746 0.5908  1 W 1.83
O17 0.8580 0.5827 0.5368  1 W 1.85
O18 0.8580 0.9173 0.0368  1 W 1.85
O19 0.9518 0.5948 0.9211  1 W 2.04, 1 O 2.21
O20 0.9518 0.9052 0.4211  1 W 2.04, 1 O 2.21

Values from the calculation:
Calculated volume (Å³/atom): 15.716
Calculated total energy (eV per atom): -8.864
Space-group type: No. 14